[1]
Material: CaRe2Cl
Method: DFT, PBE-GGA
State: optimized geometry

Output
* distance to the lowest polymorph of the same formula: 925.8 meV/atom
* E_form (uncorrected): 0.790 eV/atom
* space-group type: Pmmm

```
data_CaRe2Cl
_cell_length_a 2.8487
_cell_length_b 5.4056
_cell_length_c 5.1896
_cell_angle_alpha 90.00
_cell_angle_beta 90.00
_cell_angle_gamma 90.00
_space_group_name_H-M_alt 'P 1'
_space_group_IT_number 1
_space_group_name_Hall 'P 1'
loop_
_atom_site_label
_atom_site_fract_x
_atom_site_fract_y
_atom_site_fract_z
Ca1 0.5000 0.5000 0.2500
Cl1 0.5000 0.5000 0.7500
Re1 0.0000 0.0000 0.4698
Re2 0.0000 0.0000 0.0302
```

[2]
Material: AcNdSnRh
Method: DFT, PBE-GGA
State: optimized geometry

Output
* energy of formation from the pure elements: -0.4733 eV/atom
* space-group type: F-43m

```
data_AcNdSnRh
_cell_length_a 5.4206
_cell_length_b 5.4206
_cell_length_c 5.4206
_cell_angle_alpha 60.00
_cell_angle_beta 60.00
_cell_angle_gamma 60.00
_space_group_name_H-M_alt 'P 1'
_space_group_IT_number 1
_space_group_name_Hall 'P 1'
loop_
_atom_site_label
_atom_site_fract_x
_atom_site_fract_y
_atom_site_fract_z
Rh1 0.0000 0.0000 0.0000
Ac1 0.2500 0.2500 0.2500
Nd1 0.7500 0.7500 0.7500
Sn1 0.5000 0.5000 0.5000
```

[3]
Material: Sc5Si2Te
Method: DFT, PBE-GGA
State: optimized geometry

Output
* E_form (uncorrected): -0.769 eV/atom
* space-group type: I4/mcm

```
data_Sc5Si2Te
_cell_length_a 7.1449
_cell_length_b 7.1449
_cell_length_c 8.2226
_cell_angle_alpha 115.75
_cell_angle_beta 115.75
_cell_angle_gamma 90.00
_space_group_name_H-M_alt 'P 1'
_space_group_IT_number 1
_space_group_name_Hall 'P 1'
loop_
_atom_site_label
_atom_site_fract_x
_atom_site_fract_y
_atom_site_fract_z
Te1 0.7500 0.7500 0.5000
Te2 0.2500 0.2500 0.5000
Si1 0.8655 0.6345 0.0000
Si2 0.3655 0.8655 0.0000
Si3 0.6345 0.1345 0.0000
Si4 0.1345 0.3655 0.0000
Sc1 0.5225 0.6975 0.7200
Sc2 0.5000 0.5000 0.0000
Sc3 0.0225 0.5225 0.7200
Sc4 0.4775 0.3025 0.2799
Sc5 0.1975 0.0225 0.7200
Sc6 0.6975 0.1975 0.7200
Sc7 0.8025 0.9775 0.2799
Sc8 0.9775 0.4775 0.2799
Sc9 0.0000 0.0000 0.0000
Sc10 0.3025 0.8025 0.2799
```

[4]
Material: TiTlSe2Cl
Method: DFT, PBE-GGA
State: optimized geometry

Output
* E_form (uncorrected): -0.867 eV/atom
* space-group type: P4/mmm

```
data_TiTlSe2Cl
_cell_length_a 5.0250
_cell_length_b 5.0250
_cell_length_c 4.9785
_cell_angle_alpha 90.00
_cell_angle_beta 90.00
_cell_angle_gamma 90.00
_space_group_name_H-M_alt 'P 1'
_space_group_IT_number 1
_space_group_name_Hall 'P 1'
loop_
_atom_site_label
_atom_site_fract_x
_atom_site_fract_y
_atom_site_fract_z
Tl1 0.5000 0.5000 0.5000
Se1 0.5000 0.0000 0.0000
Se2 0.0000 0.5000 0.0000
Ti1 0.0000 0.0000 0.0000
Cl1 0.0000 0.0000 0.5000
```

[5]
Material: CrBN3
Method: DFT, PBE-GGA
State: optimized geometry

Output
* E_form (uncorrected): 1.742 eV/atom
* space-group type: Pm-3m

```
data_CrBN3
_cell_length_a 3.6826
_cell_length_b 3.6826
_cell_length_c 3.6826
_cell_angle_alpha 90.00
_cell_angle_beta 90.00
_cell_angle_gamma 90.00
_space_group_name_H-M_alt 'P 1'
_space_group_IT_number 1
_space_group_name_Hall 'P 1'
loop_
_atom_site_label
_atom_site_fract_x
_atom_site_fract_y
_atom_site_fract_z
N1 0.5000 0.0000 0.0000
N2 0.0000 0.0000 0.5000
N3 0.0000 0.5000 0.0000
B1 0.5000 0.5000 0.5000
Cr1 0.0000 0.0000 0.0000
```

[6]
Material: TiIrRh6
Method: DFT, PBE-GGA
State: optimized geometry

Output
* energy of formation from the pure elements: -0.2856 eV/atom
* distance to the lowest polymorph of the same formula: 0.0 meV/atom
* space-group type: P4/mmm

```
data_TiIrRh6
_cell_length_a 3.8695
_cell_length_b 5.4403
_cell_length_c 5.4403
_cell_angle_alpha 90.00
_cell_angle_beta 90.00
_cell_angle_gamma 90.00
_space_group_name_H-M_alt 'P 1'
_space_group_IT_number 1
_space_group_name_Hall 'P 1'
loop_
_atom_site_label
_atom_site_fract_x
_atom_site_fract_y
_atom_site_fract_z
Rh1 0.0000 0.7487 0.7487
Rh2 0.5000 0.0000 0.5000
Rh3 0.0000 0.2513 0.2513
Rh4 0.0000 0.7488 0.2512
Rh5 0.5000 0.5000 0.0000
Rh6 0.0000 0.2512 0.7488
Ir1 0.5000 0.5000 0.5000
Ti1 0.5000 0.0000 0.0000
```

| no. | raw total energy (eV per atom) | total magnetic moment (μB/f.u.) |
| --- | --- | --- |
| 1 | -6.396 | 0.32 |
| 2 | -5.531 | 0.00 |
| 3 | -6.475 | 2.27 |
| 4 | -4.683 | 0.00 |
| 5 | -6.513 | 0.00 |
| 6 | -7.894 | 0.00 |